*1*
First-principles (PBE-GGA) data for a relaxed BaZrV crystal, as listed in Alexandria.

## Properties
**Fermi-level density of states**: 7.40 states/eV per cell

```
data_BaZrV
_cell_length_a 3.605
_cell_length_b 5.137
_cell_length_c 11.171
_cell_angle_alpha 77.87
_cell_angle_beta 89.74
_cell_angle_gamma 69.49
_space_group_name_H-M_alt 'P 1'
_space_group_IT_number 1
_space_group_name_Hall 'P 1'
loop_
_atom_site_label
_atom_site_fract_x
_atom_site_fract_y
_atom_site_fract_z
_atom_site_occupancy
Ba1 0.000 0.000 0.000 1
Ba2 0.335 0.348 0.318 1
Zr1 0.121 0.771 0.524 1
Zr2 0.567 0.874 0.726 1
V1 0.296 0.415 0.761 1
V2 0.837 0.338 0.619 1
```

---

*2*
First-principles (PBE-GGA) data for a relaxed BaZrV crystal, as listed in Alexandria.

## Properties
**Fermi-level density of states**: 8.56 states/eV per cell

```
data_BaZrV
_cell_length_a 4.104
_cell_length_b 3.783
_cell_length_c 12.145
_cell_angle_alpha 90.00
_cell_angle_beta 98.76
_cell_angle_gamma 90.00
_space_group_name_H-M_alt 'P 1 21/m 1'
_space_group_IT_number 11
_space_group_name_Hall '-P 2yb'
loop_
_atom_site_label
_atom_site_fract_x
_atom_site_fract_y
_atom_site_fract_z
_atom_site_occupancy
Ba1 0.182 0.250 0.348 1
Zr1 0.433 0.250 0.895 1
V1 0.049 0.250 0.070 1
```

---

Stability check: which of them is least stable? *1*.

---

*1*
First-principles (PBE-GGA) data for a relaxed BaZrV crystal, as listed in Alexandria.

## Properties
**Fermi-level density of states**: 7.72 states/eV per cell

```
data_BaZrV
_cell_length_a 3.302
_cell_length_b 3.302
_cell_length_c 14.946
_cell_angle_alpha 94.54
_cell_angle_beta 94.80
_cell_angle_gamma 90.25
_space_group_name_H-M_alt 'P -1'
_space_group_IT_number 2
_space_group_name_Hall '-P 1'
loop_
_atom_site_label
_atom_site_fract_x
_atom_site_fract_y
_atom_site_fract_z
_atom_site_occupancy
Ba1 0.097 0.104 0.129 1
Zr1 0.311 0.307 0.657 1
V1 0.233 0.234 0.457 1
```

---

*2*
First-principles (PBE-GGA) data for a relaxed BaZrV crystal, as listed in Alexandria.

## Properties
**Fermi-level density of states**: 8.13 states/eV per cell

```
data_BaZrV
_cell_length_a 3.281
_cell_length_b 5.418
_cell_length_c 9.747
_cell_angle_alpha 82.00
_cell_angle_beta 80.88
_cell_angle_gamma 82.32
_space_group_name_H-M_alt 'P 1'
_space_group_IT_number 1
_space_group_name_Hall 'P 1'
loop_
_atom_site_label
_atom_site_fract_x
_atom_site_fract_y
_atom_site_fract_z
_atom_site_occupancy
Ba1 0.000 0.000 0.000 1
Ba2 0.102 0.557 0.730 1
Zr1 0.560 0.693 0.365 1
Zr2 0.795 0.108 0.514 1
V1 0.220 0.253 0.285 1
V2 0.521 0.479 0.133 1
```

---

*3*
First-principles (PBE-GGA) data for a relaxed BaZrV crystal, as listed in Alexandria.

## Properties
**Fermi-level density of states**: 6.21 states/eV per cell

```
data_BaZrV
_cell_length_a 3.534
_cell_length_b 3.534
_cell_length_c 13.697
_cell_angle_alpha 90.00
_cell_angle_beta 90.00
_cell_angle_gamma 90.00
_space_group_name_H-M_alt 'I 4 m m'
_space_group_IT_number 107
_space_group_name_Hall 'I 4 -2'
loop_
_atom_site_label
_atom_site_fract_x
_atom_site_fract_y
_atom_site_fract_z
_atom_site_occupancy
Ba1 0.000 0.000 0.000 1
Zr1 0.000 0.000 0.719 1
V1 0.000 0.000 0.320 1
```

---

Stability check: which of them is least stable? *3*.

---

*1*
First-principles (PBE-GGA) data for a relaxed BaW crystal, as listed in Alexandria.

## Properties
**Fermi-level density of states**: 24.35 states/eV per cell

```
data_BaW
_cell_length_a 6.045
_cell_length_b 10.882
_cell_length_c 7.930
_cell_angle_alpha 90.00
_cell_angle_beta 90.00
_cell_angle_gamma 90.00
_space_group_name_H-M_alt 'C m c m'
_space_group_IT_number 63
_space_group_name_Hall '-C 2c 2'
loop_
_atom_site_label
_atom_site_fract_x
_atom_site_fract_y
_atom_site_fract_z
_atom_site_occupancy
Ba1 0.000 0.080 0.250 1
Ba2 0.000 0.254 0.750 1
W1 0.000 0.416 0.099 1
```

---

*2*
First-principles (PBE-GGA) data for a relaxed BaW crystal, as listed in Alexandria.

## Properties
**Fermi-level density of states**: 19.37 states/eV per cell

```
data_BaW
_cell_length_a 9.664
_cell_length_b 9.664
_cell_length_c 9.664
_cell_angle_alpha 90.00
_cell_angle_beta 90.00
_cell_angle_gamma 90.00
_space_group_name_H-M_alt 'I -4 3 m'
_space_group_IT_number 217
_space_group_name_Hall 'I -4 2 3'
loop_
_atom_site_label
_atom_site_fract_x
_atom_site_fract_y
_atom_site_fract_z
_atom_site_occupancy
Ba1 0.221 0.221 0.221 1
W1 0.091 0.091 0.909 1
```

---

*3*
First-principles (PBE-GGA) data for a relaxed BaW crystal, as listed in Alexandria.

## Properties
**Fermi-level density of states**: 12.22 states/eV per cell

```
data_BaW
_cell_length_a 9.0571
_cell_length_b 9.0571
_cell_length_c 5.7963
_cell_angle_alpha 90.00
_cell_angle_beta 90.00
_cell_angle_gamma 120.00
_space_group_name_H-M_alt 'P 63/m m c'
_space_group_IT_number 194
_space_group_name_Hall '-P 6c 2c'
loop_
_atom_site_label
_atom_site_fract_x
_atom_site_fract_y
_atom_site_fract_z
_atom_site_occupancy
Ba1 0.1770 0.3540 0.2500 1
W1 0.1558 0.5779 0.7500 1
```

---

*4*
First-principles (PBE-GGA) data for a relaxed BaW crystal, as listed in Alexandria.

## Properties
**Fermi-level density of states**: 5.58 states/eV per cell

```
data_BaW
_cell_length_a 3.1076
_cell_length_b 3.1076
_cell_length_c 12.1079
_cell_angle_alpha 90.00
_cell_angle_beta 90.00
_cell_angle_gamma 120.00
_space_group_name_H-M_alt 'P 63/m m c'
_space_group_IT_number 194
_space_group_name_Hall '-P 6c 2c'
loop_
_atom_site_label
_atom_site_fract_x
_atom_site_fract_y
_atom_site_fract_z
_atom_site_occupancy
Ba1 0.0000 0.0000 0.0000 1
W1 0.3333 0.6667 0.2500 1
```

---

Stability check: which of them is least stable? *4*.

---

*1*
First-principles (PBE-GGA) data for a relaxed BaW crystal, as listed in Alexandria.

## Properties
**Fermi-level density of states**: 31.93 states/eV per cell

```
data_BaW
_cell_length_a 6.319
_cell_length_b 10.013
_cell_length_c 15.103
_cell_angle_alpha 90.00
_cell_angle_beta 90.00
_cell_angle_gamma 90.00
_space_group_name_H-M_alt 'F d d d'
_space_group_IT_number 70
loop_
_space_group_symop_operation_xyz
'x,y,z'
'-x,-y,-z'
'-x+1/4,-y+1/4,z'
'x+1/4,y+1/4,-z'
'x,-y+1/4,-z+1/4'
'-x,y+1/4,z+1/4'
'-x+1/4,y,-z+1/4'
'x+1/4,-y,z+1/4'
'x,y+1/2,z+1/2'
'-x,-y+1/2,-z+1/2'
'-x+1/4,-y+3/4,z+1/2'
'x+1/4,y+3/4,-z+1/2'
'x,-y+3/4,-z+3/4'
'-x,y+3/4,z+3/4'
'-x+1/4,y+1/2,-z+3/4'
'x+1/4,-y+1/2,z+3/4'
'x+1/2,y,z+1/2'
'-x+1/2,-y,-z+1/2'
'-x+3/4,-y+1/4,z+1/2'
'x+3/4,y+1/4,-z+1/2'
'x+1/2,-y+1/4,-z+3/4'
'-x+1/2,y+1/4,z+3/4'
'-x+3/4,y,-z+3/4'
'x+3/4,-y,z+3/4'
'x+1/2,y+1/2,z'
'-x+1/2,-y+1/2,-z'
'-x+3/4,-y+3/4,z'
'x+3/4,y+3/4,-z'
'x+1/2,-y+3/4,-z+1/4'
'-x+1/2,y+3/4,z+1/4'
'-x+3/4,y+1/2,-z+1/4'
'x+3/4,-y+1/2,z+1/4'
loop_
_atom_site_label
_atom_site_fract_x
_atom_site_fract_y
_atom_site_fract_z
_atom_site_occupancy
Ba1 0.125 0.291 0.125 1
W1 0.125 0.125 0.549 1
```

---

*2*
First-principles (PBE-GGA) data for a relaxed BaW crystal, as listed in Alexandria.

## Properties
**Fermi-level density of states**: 8.76 states/eV per cell

```
data_BaW
_cell_length_a 4.3196
_cell_length_b 4.3196
_cell_length_c 28.6773
_cell_angle_alpha 90.00
_cell_angle_beta 90.00
_cell_angle_gamma 120.00
_space_group_name_H-M_alt 'R -3 m'
_space_group_IT_number 166
_space_group_name_Hall '-R 3 2"'
loop_
_atom_site_label
_atom_site_fract_x
_atom_site_fract_y
_atom_site_fract_z
_atom_site_occupancy
Ba1 0.0000 0.0000 0.0884 1
W1 0.0000 0.0000 0.3333 1
```

---

Stability check: which of them is least stable? *1*.

---

*1*
First-principles (PBE-GGA) data for a relaxed BaW crystal, as listed in Alexandria.

## Properties
**Fermi-level density of states**: 1.73 states/eV per cell

```
data_BaW
_cell_length_a 2.992
_cell_length_b 2.992
_cell_length_c 5.728
_cell_angle_alpha 90.00
_cell_angle_beta 90.00
_cell_angle_gamma 90.00
_space_group_name_H-M_alt 'P 4/m m m'
_space_group_IT_number 123
_space_group_name_Hall '-P 4 2'
loop_
_atom_site_label
_atom_site_fract_x
_atom_site_fract_y
_atom_site_fract_z
_atom_site_occupancy
Ba1 0.000 0.000 0.000 1
W1 0.500 0.500 0.500 1
```

---

*2*
First-principles (PBE-GGA) data for a relaxed BaW crystal, as listed in Alexandria.

## Properties
**Fermi-level density of states**: 9.22 states/eV per cell

```
data_BaW
_cell_length_a 3.425
_cell_length_b 20.311
_cell_length_c 3.555
_cell_angle_alpha 90.00
_cell_angle_beta 90.00
_cell_angle_gamma 90.00
_space_group_name_H-M_alt 'C m c m'
_space_group_IT_number 63
_space_group_name_Hall '-C 2c 2'
loop_
_atom_site_label
_atom_site_fract_x
_atom_site_fract_y
_atom_site_fract_z
_atom_site_occupancy
Ba1 0.000 0.097 0.250 1
W1 0.000 0.273 0.250 1
```

---

*3*
First-principles (PBE-GGA) data for a relaxed BaW crystal, as listed in Alexandria.

## Properties
**Fermi-level density of states**: 16.86 states/eV per cell

```
data_BaW
_cell_length_a 14.236
_cell_length_b 14.236
_cell_length_c 3.407
_cell_angle_alpha 90.00
_cell_angle_beta 90.00
_cell_angle_gamma 90.00
_space_group_name_H-M_alt 'I 4/m'
_space_group_IT_number 87
_space_group_name_Hall '-I 4'
loop_
_atom_site_label
_atom_site_fract_x
_atom_site_fract_y
_atom_site_fract_z
_atom_site_occupancy
Ba1 0.041 0.728 0.000 1
W1 0.189 0.251 0.000 1
```

---

Stability check: which of them is least stable? *1*.